Entry from Alexandria: a geometry-optimized Mg2CdSe structure (PBE).

abc: 5.6238 5.6238 5.6238
angles: 142.29 116.83 75.97
Positions (direct):
Mg 0.2180 0.2180 0.0000
Mg 0.7820 0.7820 0.0000
Cd 0.5000 0.0000 0.5000
Se 0.0000 0.5000 0.5000

Computed properties:
Space group: No. 71
Density, g/cm³: 4.2
Spin magnetization, μB/f.u.: 0.0
E_form (uncorrected), eV per atom: -0.320
Excess energy over the best structure of this formula in the dataset, kJ per mole of atoms: 16.5